Entry from Alexandria: a PBEsol-optimized structure of ZrTaAl2 (SCAN).

ΔE_f = -135.0 meV per atom
density of states at the Fermi level = 2.9 states/eV per cell
space-group type = C2/m, No. 12
magnetization = 0.00 μB/f.u.

```
ZrTaAl2
1.0
4.7341 -1.4412 0.0000
4.7341 1.4412 0.0000
-0.6644 0.0000 5.3191
Zr Ta Al
1 1 2
Direct
0.0000 0.0000 0.0000
0.5000 0.5000 0.5000
0.2461 0.2461 0.7255
0.7539 0.7539 0.2745
```